Pm6Dy3Ho2Tl (PBE-GGA, relaxed); E_form = -1.0 kJ per mole of atoms; space group = C2/m (12); V = 32.03 Å³/atom; total magnetic moment = 0.00 μB per cell; crystal system = monoclinic; ρ = 8.17 g cm⁻³
1.0
3.091 -5.369 0.000
3.091 5.369 0.000
-2.095 0.000 11.581
Pm Dy Ho Tl
6 3 2 1
direct
0.082 0.410 0.748
0.246 0.246 0.251
0.410 0.082 0.748
0.590 0.918 0.252
0.754 0.754 0.749
0.918 0.590 0.252
0.168 0.832 0.000
0.500 0.500 0.000
0.832 0.168 0.000
0.334 0.666 0.500
0.666 0.334 0.500
0.000 0.000 0.500

Pm2Dy3Ho6Tl (PBE-GGA, relaxed); E_form = -2.6 kJ per mole of atoms; space group = C2/m (12); V = 30.75 Å³/atom; total magnetic moment = 0.00 μB per cell; crystal system = monoclinic; ρ = 8.87 g cm⁻³
1.0
3.040 -5.269 0.000
3.040 5.269 0.000
-2.038 0.000 11.517
Pm Dy Ho Tl
2 3 6 1
direct
0.166 0.834 0.000
0.834 0.166 0.000
0.000 0.000 0.500
0.333 0.667 0.500
0.667 0.333 0.500
0.089 0.417 0.750
0.255 0.255 0.251
0.417 0.089 0.750
0.583 0.911 0.250
0.745 0.745 0.749
0.911 0.583 0.250
0.500 0.500 0.000

Pm6Dy2Ho3Tl (PBE-GGA, relaxed); E_form = -1.3 kJ per mole of atoms; space group = C2/m (12); V = 31.96 Å³/atom; total magnetic moment = 0.00 μB per cell; crystal system = monoclinic; ρ = 8.20 g cm⁻³
1.0
3.087 -5.361 0.000
3.087 5.361 0.000
-2.082 0.000 11.586
Pm Dy Ho Tl
6 2 3 1
direct
0.083 0.411 0.749
0.245 0.245 0.250
0.411 0.083 0.749
0.589 0.917 0.251
0.755 0.755 0.750
0.917 0.589 0.251
0.334 0.666 0.500
0.666 0.334 0.500
0.168 0.832 0.000
0.500 0.500 0.000
0.832 0.168 0.000
0.000 0.000 0.500

PmDy2HoTl4 (PBE-GGA, relaxed); E_form = -33.3 kJ per mole of atoms; space group = R-3m (166); V = 27.78 Å³/atom; total magnetic moment = 0.00 μB per cell; crystal system = trigonal; ρ = 10.85 g cm⁻³
1.0
2.696 1.556 8.829
-2.696 1.556 8.829
0.000 -3.113 8.829
Pm Dy Ho Tl
1 2 1 4
direct
0.000 0.000 0.000
0.249 0.249 0.249
0.751 0.751 0.751
0.500 0.500 0.500
0.126 0.126 0.126
0.376 0.376 0.376
0.624 0.624 0.624
0.874 0.874 0.874

Pm2DyHoTl2 (PBE-GGA, relaxed); E_form = -26.0 kJ per mole of atoms; space group = Pmc2_1 (26); V = 29.83 Å³/atom; total magnetic moment = 0.00 μB per cell; crystal system = orthorhombic; ρ = 9.52 g cm⁻³
1.0
5.147 0.000 0.000
0.000 10.155 0.000
0.000 0.000 6.849
Pm Dy Ho Tl
4 2 2 4
direct
0.000 0.042 0.000
0.000 0.958 0.500
0.500 0.187 0.272
0.500 0.813 0.772
0.500 0.459 0.906
0.500 0.541 0.406
0.000 0.316 0.626
0.000 0.684 0.126
0.000 0.373 0.162
0.000 0.627 0.662
0.500 0.143 0.743
0.500 0.857 0.243

PmDyHo2Tl2 (PBE-GGA, relaxed); E_form = -25.8 kJ per mole of atoms; space group = Pmc2_1 (26); V = 29.19 Å³/atom; total magnetic moment = 0.00 μB per cell; crystal system = orthorhombic; ρ = 9.92 g cm⁻³
1.0
5.128 0.000 0.000
0.000 10.025 0.000
0.000 0.000 6.814
Pm Dy Ho Tl
2 2 4 4
direct
0.000 0.042 0.000
0.000 0.958 0.500
0.500 0.191 0.722
0.500 0.809 0.222
0.000 0.317 0.375
0.000 0.683 0.875
0.500 0.457 0.091
0.500 0.543 0.591
0.000 0.367 0.837
0.000 0.633 0.337
0.500 0.138 0.259
0.500 0.862 0.759

Pm5DyHo2Tm (PBE-GGA, relaxed); E_form = 14.1 kJ per mole of atoms; space group = Cmc2_1 (36); V = 33.64 Å³/atom; total magnetic moment = 0.00 μB per cell; crystal system = orthorhombic; ρ = 7.60 g cm⁻³
1.0
2.815 -10.107 0.000
2.815 10.107 0.000
0.000 0.000 10.641
Pm Dy Ho Tm
10 2 4 2
direct
0.017 0.983 0.500
0.280 0.720 0.795
0.298 0.702 0.189
0.385 0.615 0.503
0.482 0.518 0.225
0.518 0.482 0.725
0.615 0.385 0.003
0.702 0.298 0.689
0.720 0.280 0.295
0.983 0.017 0.000
0.409 0.591 0.943
0.591 0.409 0.443
0.112 0.888 0.220
0.115 0.885 0.794
0.885 0.115 0.294
0.888 0.112 0.720
0.199 0.801 0.493
0.801 0.199 0.993

PmDyHo2Tm6 (PBE-GGA, relaxed); E_form = 11.9 kJ per mole of atoms; space group = C2/c (15); V = 31.28 Å³/atom; total magnetic moment = 0.00 μB per cell; crystal system = monoclinic; ρ = 8.76 g cm⁻³
1.0
4.494 -7.445 0.000
4.494 7.445 0.000
-1.138 0.000 9.350
Pm Dy Ho Tm
2 2 4 12
direct
0.026 0.974 0.750
0.974 0.026 0.250
0.410 0.590 0.250
0.590 0.410 0.750
0.197 0.304 0.546
0.304 0.197 0.046
0.696 0.803 0.954
0.803 0.696 0.454
0.020 0.568 0.683
0.125 0.750 0.058
0.250 0.875 0.442
0.291 0.508 0.882
0.432 0.980 0.817
0.492 0.709 0.618
0.508 0.291 0.382
0.568 0.020 0.183
0.709 0.492 0.118
0.750 0.125 0.558
0.875 0.250 0.942
0.980 0.432 0.317

Pm6Dy3HoTm2 (PBE-GGA, relaxed); E_form = 1.3 kJ per mole of atoms; space group = C2/m (12); V = 32.44 Å³/atom; total magnetic moment = 0.00 μB per cell; crystal system = monoclinic; ρ = 7.94 g cm⁻³
1.0
3.113 -5.390 0.000
3.113 5.390 0.000
-2.067 0.000 11.602
Pm Dy Ho Tm
6 3 1 2
direct
0.083 0.416 0.751
0.250 0.250 0.249
0.416 0.083 0.751
0.584 0.917 0.249
0.750 0.750 0.751
0.917 0.584 0.249
0.000 0.000 0.500
0.333 0.667 0.500
0.667 0.333 0.500
0.500 0.500 0.000
0.167 0.833 0.000
0.833 0.167 0.000

Pm2Dy4HoTm2 (PBE-GGA, relaxed); E_form = 8.2 kJ per mole of atoms; space group = P-1 (2); V = 31.97 Å³/atom; total magnetic moment = 0.00 μB per cell; crystal system = triclinic; ρ = 8.33 g cm⁻³
1.0
5.980 0.000 0.000
2.813 5.971 0.000
2.890 0.301 8.058
Pm Dy Ho Tm
2 4 1 2
direct
0.232 0.324 0.343
0.768 0.676 0.657
0.118 0.128 0.761
0.239 0.576 0.884
0.761 0.424 0.116
0.882 0.872 0.239
0.500 0.000 0.000
0.320 0.770 0.445
0.680 0.230 0.555

PmDy3Ho2Tm6 (PBE-GGA, relaxed); E_form = 2.1 kJ per mole of atoms; space group = C2/m (12); V = 30.76 Å³/atom; total magnetic moment = 0.00 μB per cell; crystal system = monoclinic; ρ = 8.89 g cm⁻³
1.0
3.050 -5.277 0.000
3.050 5.277 0.000
-2.027 0.000 11.465
Pm Dy Ho Tm
1 3 2 6
direct
0.000 0.000 0.000
0.167 0.833 0.500
0.500 0.500 0.500
0.833 0.167 0.500
0.333 0.667 0.000
0.667 0.333 0.000
0.084 0.418 0.251
0.249 0.249 0.749
0.418 0.084 0.251
0.582 0.916 0.749
0.751 0.751 0.251
0.916 0.582 0.749

PmDy2HoTm6 (PBE-GGA, relaxed); E_form = 11.8 kJ per mole of atoms; space group = C2/c (15); V = 31.31 Å³/atom; total magnetic moment = 0.00 μB per cell; crystal system = monoclinic; ρ = 8.74 g cm⁻³
1.0
4.487 -7.449 0.000
4.487 7.449 0.000
-1.191 0.000 9.366
Pm Dy Ho Tm
2 4 2 12
direct
0.024 0.976 0.750
0.976 0.024 0.250
0.197 0.303 0.546
0.303 0.197 0.046
0.697 0.803 0.954
0.803 0.697 0.454
0.409 0.591 0.250
0.591 0.409 0.750
0.020 0.569 0.683
0.125 0.749 0.058
0.251 0.875 0.442
0.291 0.508 0.882
0.431 0.980 0.817
0.492 0.709 0.618
0.508 0.291 0.382
0.569 0.020 0.183
0.709 0.492 0.118
0.749 0.125 0.558
0.875 0.251 0.942
0.980 0.431 0.317